# Na4YPu3S8 (PBE, optimized geometry)
data_Na4YPu3S8
_chemical_formula_sum 'Na4 Y1 Pu3 S8'
_space_group_name_H-M_alt 'P 1'
_space_group_IT_number 1
_space_group_name_Hall 'P 1'
_cell_length_a 8.101
_cell_length_b 8.101
_cell_length_c 8.101
_cell_angle_alpha 59.69
_cell_angle_beta 59.69
_cell_angle_gamma 59.69
loop_
_atom_site_label
_atom_site_type_symbol
_atom_site_fract_x
_atom_site_fract_y
_atom_site_fract_z
Na1 Na 0.000 0.000 0.000
Na2 Na 0.000 0.500 0.500
Na3 Na 0.500 0.000 0.500
Na4 Na 0.500 0.500 0.000
Y1 Y 0.500 0.500 0.500
Pu1 Pu 0.000 0.000 0.500
Pu2 Pu 0.000 0.500 0.000
Pu3 Pu 0.500 0.000 0.000
S1 S 0.241 0.241 0.241
S2 S 0.244 0.742 0.742
S3 S 0.258 0.258 0.756
S4 S 0.258 0.756 0.258
S5 S 0.742 0.244 0.742
S6 S 0.742 0.742 0.244
S7 S 0.756 0.258 0.258
S8 S 0.759 0.759 0.759
# - Raw total energy: -7.1037 eV per atom
# - Space-group type: R-3m
# - Raw formation energy: -1.62 eV per atom
# - DOS(E_F): 27.440 states/eV/f.u.